A relaxed structure of TaBe2Ga, computed with PBE-GGA.

Properties
The formation energy is 0.3510 eV per atom.

```
data_TaBe2Ga
_space_group_name_H-M_alt 'I -4 2 d'
_space_group_IT_number 122
_space_group_name_Hall 'I -4 2bw'
_cell_length_a 6.460
_cell_length_b 6.460
_cell_length_c 5.181
_cell_angle_alpha 90.00
_cell_angle_beta 90.00
_cell_angle_gamma 90.00
loop_
_atom_site_label
_atom_site_fract_x
_atom_site_fract_y
_atom_site_fract_z
_atom_site_occupancy
Ta1 0.000 0.000 0.000 1
Be1 0.221 0.750 0.625 1
Ga1 0.000 0.000 0.500 1
```